*i*
Below is crystalline Nb3CrTc at its relaxed geometry, with properties calculated at the PBE level.

Cell: 4.5422 4.5422 4.5422 Å, 90.00 90.00 90.00°
Element x y z (fractional)
Cr: 0.0000 0.0000 0.0000
Nb: 0.0000 0.5000 0.0000
Nb: 0.0000 0.0000 0.5000
Nb: 0.5000 0.0000 0.0000
Tc: 0.5000 0.5000 0.5000

Properties
For the magnetic moment, the calculation gives 0.000 Bohr magnetons per cell.



*ii*
Below is crystalline Nb3CrTc at its relaxed geometry, with properties calculated at the PBE level.

Cell: 4.8068 4.8068 4.8068 Å, 90.00 90.00 90.00°
Element x y z (fractional)
Cr: 0.5000 0.5000 0.5000
Nb: 0.0000 0.5000 0.0000
Nb: 0.0000 0.0000 0.5000
Nb: 0.5000 0.0000 0.0000
Tc: 0.0000 0.0000 0.0000

Properties
For the magnetic moment, the calculation gives 4.403 Bohr magnetons per cell.



Pick *i*: it beats the second-best structure by 16.2 kJ/mol of atoms.



*i*
Below is crystalline Nb2CrTe5 at its relaxed geometry, with properties calculated at the PBE level.

Cell: 4.9053 7.3145 7.6777 Å, 83.85 71.37 70.41°
Element x y z (fractional)
Nb: 0.8075 0.5000 0.8849
Nb: 0.1925 0.5000 0.1151
Cr: 0.5000 0.5000 0.5000
Te: 0.2175 0.7540 0.8109
Te: 0.5284 0.7540 0.1891
Te: 0.0000 0.5000 0.5000
Te: 0.7825 0.2460 0.1891
Te: 0.4716 0.2460 0.8109

Properties
For the magnetic moment, the calculation gives 2.672 Bohr magnetons per cell.



*ii*
Below is crystalline Nb2CrTe5 at its relaxed geometry, with properties calculated at the PBE level.

Cell: 5.4987 7.0171 11.9785 Å, 90.00 90.00 113.07°
Element x y z (fractional)
Nb: 0.8485 0.6969 0.3868
Nb: 0.8485 0.6969 0.1132
Nb: 0.1515 0.3031 0.6132
Nb: 0.1515 0.3031 0.8868
Cr: 0.7729 0.5458 0.7500
Cr: 0.2271 0.4542 0.2500
Te: 0.9391 0.8783 0.8870
Te: 0.9391 0.8783 0.6130
Te: 0.3286 0.6572 0.4478
Te: 0.3286 0.6572 0.0522
Te: 0.6744 0.3487 0.2500
Te: 0.3256 0.6513 0.7500
Te: 0.6714 0.3428 0.5522
Te: 0.6714 0.3428 0.9478
Te: 0.0609 0.1217 0.1130
Te: 0.0609 0.1217 0.3870

Properties
For the magnetic moment, the calculation gives 3.612 Bohr magnetons per cell.



Pick *i*: it beats the second-best structure by 10.6 kJ/mol of atoms.



*i*
Below is crystalline Nb3CrTe at its relaxed geometry, with properties calculated at the PBE level.

Cell: 4.9741 4.9741 4.9741 Å, 90.00 90.00 90.00°
Element x y z (fractional)
Cr: 0.5000 0.5000 0.5000
Nb: 0.0000 0.5000 0.0000
Nb: 0.0000 0.0000 0.5000
Nb: 0.5000 0.0000 0.0000
Te: 0.0000 0.0000 0.0000

Properties
For the magnetic moment, the calculation gives 0.879 Bohr magnetons per cell.



*ii*
Below is crystalline Nb3CrTe at its relaxed geometry, with properties calculated at the PBE level.

Cell: 4.6867 4.6867 4.6867 Å, 90.00 90.00 90.00°
Element x y z (fractional)
Cr: 0.0000 0.0000 0.0000
Nb: 0.0000 0.5000 0.0000
Nb: 0.0000 0.0000 0.5000
Nb: 0.5000 0.0000 0.0000
Te: 0.5000 0.5000 0.5000

Properties
For the magnetic moment, the calculation gives 0.000 Bohr magnetons per cell.



Pick *ii*: it beats the second-best structure by 115.1 kJ/mol of atoms.



*i*
Below is crystalline NbCrTe3 at its relaxed geometry, with properties calculated at the PBE level.

Cell: 5.3721 5.3721 5.3721 Å, 90.00 90.00 90.00°
Element x y z (fractional)
Cr: 0.5000 0.5000 0.5000
Nb: 0.0000 0.0000 0.0000
Te: 0.0000 0.5000 0.0000
Te: 0.0000 0.0000 0.5000
Te: 0.5000 0.0000 0.0000

Properties
For the magnetic moment, the calculation gives 0.913 Bohr magnetons per cell.



*ii*
Below is crystalline NbCrTe3 at its relaxed geometry, with properties calculated at the PBE level.

Cell: 5.1380 5.1380 5.1380 Å, 90.00 90.00 90.00°
Element x y z (fractional)
Cr: 0.0000 0.0000 0.0000
Nb: 0.5000 0.5000 0.5000
Te: 0.0000 0.5000 0.0000
Te: 0.0000 0.0000 0.5000
Te: 0.5000 0.0000 0.0000

Properties
For the magnetic moment, the calculation gives 5.346 Bohr magnetons per cell.



Pick *ii*: it beats the second-best structure by 40.7 kJ/mol of atoms.